This record from Alexandria describes a relaxed ZrCoNiHg crystal. The functional is PBE.

CIF file:
```
data_ZrCoNiHg
_symmetry_space_group_name_H-M 'P 1'
_symmetry_Int_Tables_number 1
_cell_length_a 4.4602
_cell_length_b 4.4602
_cell_length_c 4.4602
_cell_angle_alpha 60.00
_cell_angle_beta 60.00
_cell_angle_gamma 60.00
loop_
_symmetry_equiv_pos_as_xyz
'x,y,z'
loop_
_atom_site_label
_atom_site_type_symbol
_atom_site_fract_x
_atom_site_fract_y
_atom_site_fract_z
_atom_site_occupancy
Hg1 Hg 0.5000 0.5000 0.5000 1
Zr1 Zr 0.0000 0.0000 0.0000 1
Ni1 Ni 0.2500 0.2500 0.2500 1
Co1 Co 0.7500 0.7500 0.7500 1
```

Properties
- formation energy from the elements (eV/atom) = -0.117
- magnetization (μB per formula unit) = 0.85
- symmetry = F-43m